# 1
A relaxed structure of Li2HN. Source: the Alexandria database, functional PBE-GGA.

Properties
Its density of states at the Fermi level is 0.0 states/eV per cell.

The structure in POSCAR format:
```
Li2HN
1.0
3.615 0.000 0.000
0.000 4.892 0.000
0.000 0.000 7.760
Li H N
8 4 4
Cartesian
2.712 0.426 1.559
0.904 2.873 2.321
2.712 2.020 5.439
2.712 2.628 0.796
0.904 2.264 6.964
0.904 0.182 3.084
0.904 4.466 6.200
2.712 4.711 4.675
0.904 1.950 4.476
0.904 0.497 0.596
2.712 2.943 3.283
2.712 4.396 7.163
2.712 3.827 2.741
0.904 1.065 5.019
2.712 3.511 6.620
0.904 1.381 1.139
```

=====

# 2
A relaxed structure of Li8H3N2. Source: the Alexandria database, functional PBE-GGA.

Properties
Its density of states at the Fermi level is 1.4 states/eV per cell.

The structure in POSCAR format:
```
Li8H3N2
1.0
3.473 0.000 0.000
0.000 5.582 2.071
0.000 -0.227 5.951
Li N H
8 2 3
Cartesian
1.736 1.912 6.081
1.737 3.443 1.941
3.473 1.960 2.936
0.000 3.395 5.086
1.736 0.474 3.925
0.000 4.632 6.937
1.737 4.882 4.097
3.473 0.723 1.085
1.737 3.970 5.947
1.736 1.385 2.075
1.737 0.000 0.000
0.000 3.982 3.141
0.000 1.374 4.881
```

=====

# 3
A relaxed structure of LiH2N. Source: the Alexandria database, functional PBE-GGA.

Properties
Its density of states at the Fermi level is 0.0 states/eV per cell.

The structure in POSCAR format:
```
LiH2N
1.0
-1.780 -2.294 -1.308
1.037 -3.418 4.585
-5.961 2.706 3.365
H Li N
8 4 4
Cartesian
-1.885 -0.585 1.306
-0.949 -2.505 2.509
-3.726 -1.321 0.336
-6.138 0.765 2.436
-3.361 -0.419 4.610
-2.146 -3.491 2.882
-4.706 0.974 3.106
-4.967 -1.932 4.682
-3.631 -1.470 2.348
0.422 -3.234 3.801
-2.853 -2.260 5.267
-6.906 -0.497 3.815
-4.411 -2.434 3.975
-1.209 -3.501 2.455
-5.702 1.177 3.275
-2.500 0.109 1.755
```

=====

# 4
A relaxed structure of Li3HN. Source: the Alexandria database, functional PBE-GGA.

Properties
Its density of states at the Fermi level is 1.8 states/eV per cell.

The structure in POSCAR format:
```
Li3HN
1.0
-2.517 2.824 -0.587
-2.279 -1.470 2.702
1.768 2.126 2.648
N Li H
1 3 1
Cartesian
0.000 0.000 0.000
0.884 1.063 1.324
-1.140 -0.735 1.351
-1.258 1.412 -0.293
-1.514 1.740 2.381
```

=====

# 5
A relaxed structure of Li2H2N. Source: the Alexandria database, functional PBE-GGA.

Properties
Its density of states at the Fermi level is 1.6 states/eV per cell.

The structure in POSCAR format:
```
Li2H2N
1.0
-3.026 3.556 2.895
-4.288 -0.965 -3.296
-0.795 -1.992 1.617
N H Li
2 4 4
Cartesian
0.000 0.000 0.000
-3.657 1.296 -0.201
-5.198 1.947 2.076
-1.974 0.554 1.944
-2.910 -1.348 -0.860
-6.135 0.045 -0.728
-5.436 2.121 -0.057
-3.054 2.324 1.363
-1.878 0.470 -0.344
-4.260 0.267 -1.764
```

=====

# 6
A relaxed structure of LiH2N. Source: the Alexandria database, functional PBE-GGA.

Properties
Its density of states at the Fermi level is 0.0 states/eV per cell.

The structure in POSCAR format:
```
LiH2N
1.0
4.253 0.000 0.000
0.000 4.398 0.000
0.000 0.000 5.529
Li N H
4 4 8
Cartesian
1.063 0.652 3.405
1.063 2.851 4.888
3.190 3.746 2.123
3.190 1.547 0.641
3.190 1.383 2.689
1.063 3.015 2.840
3.190 3.582 0.075
1.063 0.816 5.453
2.127 2.199 2.764
1.063 3.313 1.851
2.127 0.000 0.000
0.000 2.199 2.764
3.190 1.084 3.678
0.000 0.000 0.000
3.190 3.283 4.615
1.063 1.114 0.913
```

=====

# 7
A relaxed structure of LiH2N. Source: the Alexandria database, functional PBE-GGA.

The structure in POSCAR format:
```
LiH2N
1.0
5.075 -0.178 -0.149
0.891 4.999 -0.149
0.891 0.720 4.949
N H Li
3 6 3
Cartesian
2.538 -0.089 -0.075
0.446 0.360 2.475
0.446 2.500 -0.075
4.897 0.954 2.325
3.429 1.269 4.115
4.897 2.456 0.536
3.429 4.272 0.536
1.961 4.588 2.325
1.961 3.086 4.115
1.617 1.307 1.097
5.241 4.235 3.554
0.000 0.000 0.000
```

=====

# 8
A relaxed structure of Li7H5N4. Source: the Alexandria database, functional PBE-GGA.

Properties
Its density of states at the Fermi level is 0.0 states/eV per cell.

The structure in POSCAR format:
```
Li7H5N4
1.0
7.166 0.000 0.000
0.000 7.210 0.000
0.000 0.000 10.602
Li N H
28 16 20
Cartesian
1.134 5.291 9.049
6.169 4.028 1.573
6.511 3.539 6.417
4.717 5.524 3.748
4.717 1.919 1.553
1.134 1.686 6.854
2.586 6.787 6.874
5.925 3.585 4.083
2.586 3.182 9.029
0.793 4.991 4.349
4.375 2.219 6.254
4.444 1.447 9.698
0.793 1.386 0.953
4.291 5.390 1.383
2.928 3.671 4.185
2.343 3.625 6.519
4.444 5.052 6.205
2.343 0.020 9.384
4.291 1.785 3.919
0.708 5.425 6.684
5.925 7.190 1.218
0.861 5.763 0.904
4.375 5.824 9.650
0.861 2.158 4.397
6.169 0.423 3.728
6.511 7.143 9.486
0.708 1.820 9.220
2.928 0.066 1.116
6.196 5.231 5.245
2.540 1.667 10.452
0.681 3.615 2.838
2.540 5.272 5.451
6.123 1.938 5.151
0.896 7.143 8.029
6.196 1.626 0.056
6.123 5.543 0.150
0.681 0.010 2.463
4.263 3.594 7.764
0.896 3.538 7.874
4.478 0.067 2.573
4.478 3.672 2.728
2.613 5.584 10.546
2.613 1.979 5.357
4.263 7.199 8.140
5.083 7.065 7.533
2.674 6.071 4.805
6.213 6.227 5.530
2.674 2.466 0.496
3.892 0.899 7.821
3.598 3.590 2.186
0.015 3.620 8.416
0.015 0.015 7.488
1.500 0.145 3.070
6.213 2.622 10.373
3.892 4.504 8.082
5.083 3.460 8.371
3.598 7.195 3.115
6.256 1.139 5.797
0.309 2.705 2.520
1.500 3.750 2.232
2.630 0.983 5.072
6.256 4.744 10.106
0.309 6.310 2.781
2.630 4.588 0.229
```

=====

# 9
A relaxed structure of LiH2N. Source: the Alexandria database, functional PBE-GGA.

Properties
Its density of states at the Fermi level is 0.0 states/eV per cell.

The structure in POSCAR format:
```
LiH2N
1.0
3.856 0.000 0.000
0.000 4.703 0.000
0.000 0.000 5.292
N H Li
4 8 4
Cartesian
2.633 1.176 5.133
1.223 1.176 2.487
1.223 3.527 0.159
2.633 3.527 2.806
1.928 2.351 2.646
2.448 1.176 4.116
1.928 2.351 0.000
2.448 3.527 3.823
1.928 0.000 0.000
1.408 1.176 1.470
1.408 3.527 1.177
1.928 0.000 2.646
0.290 0.000 3.969
3.566 0.000 1.323
0.290 2.351 3.969
3.566 2.351 1.323
```

=====

# 10
A relaxed structure of LiH2N. Source: the Alexandria database, functional PBE-GGA.

Properties
Its density of states at the Fermi level is 0.0 states/eV per cell.

The structure in POSCAR format:
```
LiH2N
1.0
-1.763 -2.779 -1.532
2.388 -2.316 1.452
-2.805 -0.406 3.965
H N Li
4 2 2
Cartesian
-2.473 -3.420 1.762
-1.245 -1.463 1.099
-0.518 -2.198 3.270
-0.124 -3.920 1.640
-1.000 -1.475 3.827
-1.493 -1.478 0.098
0.312 -2.547 -0.040
0.000 0.000 0.000
```

=====

# 11
A relaxed structure of Li2H2N. Source: the Alexandria database, functional PBE-GGA.

Properties
Its density of states at the Fermi level is 1.4 states/eV per cell.

The structure in POSCAR format:
```
Li2H2N
1.0
2.408 0.000 0.000
0.000 2.408 0.000
1.204 1.204 5.766
H Li N
2 2 1
Cartesian
1.204 2.408 2.883
2.408 1.204 2.883
1.204 1.204 1.217
2.408 2.408 4.550
0.000 0.000 0.000
```

=====

# 12
A relaxed structure of LiH2N. Source: the Alexandria database, functional PBE-GGA.

Properties
Its density of states at the Fermi level is 0.0 states/eV per cell.

The structure in POSCAR format:
```
LiH2N
1.0
-4.735 -1.927 2.076
5.276 -1.294 -0.963
1.037 0.887 3.599
H Li N
4 2 2
Cartesian
0.089 -0.907 3.302
1.342 -1.239 0.965
-3.358 -1.655 3.474
5.402 -0.691 2.771
-1.851 -0.686 2.157
3.318 0.051 2.544
1.995 -0.444 0.989
-0.528 -0.192 3.711
```

=====

# 13
A relaxed structure of LiH3N. Source: the Alexandria database, functional PBE-GGA.

Properties
Its density of states at the Fermi level is 0.6 states/eV per cell.

The structure in POSCAR format:
```
LiH3N
1.0
3.050 0.000 0.000
0.000 3.050 0.000
0.000 0.000 3.050
Li N H
1 1 3
Cartesian
1.525 1.525 1.525
0.000 0.000 0.000
0.000 1.525 0.000
1.525 0.000 0.000
0.000 0.000 1.525
```

=====

# 14
A relaxed structure of LiH2N. Source: the Alexandria database, functional PBE-GGA.

Properties
Its density of states at the Fermi level is 0.0 states/eV per cell.

The structure in POSCAR format:
```
LiH2N
1.0
3.376 0.000 0.000
0.000 3.834 -0.013
0.000 0.034 10.104
H N Li
8 4 4
Cartesian
3.252 2.591 8.349
1.564 1.295 6.794
1.564 0.651 1.745
1.812 3.218 8.346
1.812 2.573 3.297
0.124 0.668 6.797
0.124 1.278 1.742
3.252 3.201 3.294
0.844 0.979 6.130
2.532 2.907 9.013
2.532 2.889 3.961
0.844 0.962 1.078
2.532 0.975 4.812
2.532 0.992 9.864
0.844 2.894 5.279
0.844 2.877 0.227
```

=====

# 15
A relaxed structure of LiPH3NO3. Source: the Alexandria database, functional PBE-GGA.

Properties
Its density of states at the Fermi level is 0.0 states/eV per cell.

The structure in POSCAR format:
```
LiPH3NO3
1.0
-0.636 1.727 -8.950
1.076 -7.718 -3.535
-4.728 -0.432 -1.302
O Li H P N
12 4 12 4 4
Cartesian
-1.657 -5.044 -4.405
-3.087 -0.333 -1.903
-3.227 -1.142 -6.615
-1.200 -6.090 -11.883
-3.334 -4.235 -7.794
-0.017 -1.087 -2.193
-0.953 -2.188 -5.992
-2.629 -1.378 -9.381
-4.270 -5.336 -11.593
-0.078 -2.553 -9.057
-1.060 -5.281 -7.171
-4.209 -3.869 -4.728
-1.573 -1.230 -0.978
-0.315 -3.453 -7.305
-2.714 -5.193 -12.808
-3.972 -2.970 -6.481
-1.419 -0.958 -3.606
-0.944 -2.145 -9.317
-0.945 -4.505 -3.976
0.565 -6.350 -6.411
-1.409 -5.086 -5.366
-3.342 -1.918 -9.810
0.074 -3.332 -9.664
-4.852 -0.073 -7.375
-2.878 -1.336 -8.420
-3.342 -4.278 -4.469
-2.868 -5.465 -10.180
-4.360 -3.091 -4.122
-1.923 -1.036 -5.848
-0.665 -5.926 -10.475
-2.364 -5.387 -7.938
-3.622 -0.497 -3.311
-3.170 -6.780 -7.453
-2.257 -0.896 -4.205
-2.030 -5.527 -9.581
-1.117 0.357 -6.333
```

=====

| no. | final energy (eV/cell) |
| --- | --- |
| 1 | -70.1 |
| 2 | -45.4 |
| 3 | -75.0 |
| 4 | -17.7 |
| 5 | -35.8 |
| 6 | -72.6 |
| 7 | -51.6 |
| 8 | -285.9 |
| 9 | -71.7 |
| 10 | -37.9 |
| 11 | -16.7 |
| 12 | -37.9 |
| 13 | -17.5 |
| 14 | -75.8 |
| 15 | -213.2 |